Record 1
This record from Alexandria via LeMat-Bulk describes a geometry-optimized CdH2ClO structure. The functional is PBE.

Geometry as POSCAR:
```
CdH2ClO
1.0
-0.327 1.627 2.970
-4.950 -1.876 -1.466
1.651 -7.867 4.491
Cd H Cl O
2 4 2 2
direct
0.396 0.793 0.750 Cd
0.604 0.207 0.250 Cd
0.071 0.141 0.933 H
0.929 0.859 0.067 H
0.071 0.141 0.567 H
0.929 0.859 0.433 H
0.667 0.335 0.750 Cl
0.333 0.665 0.250 Cl
0.000 0.000 0.000 O
0.000 0.000 0.500 O
```

Values from the calculation:
Energy ... -3.3587 eV/atom
DOS at the Fermi energy ... 1.18 states/eV/f.u.
Size of the total moment ... 0.000 μB/atom


Record 2
This record from Alexandria via LeMat-Bulk describes a geometry-optimized HfAs2Cl structure. The functional is PBE.

Geometry as POSCAR:
```
HfAs2Cl
1.0
3.843 -2.813 -0.775
1.961 -2.465 3.655
-0.447 -4.801 0.186
As Hf Cl
2 1 1
direct
0.250 0.250 0.250 As
0.750 0.750 0.750 As
0.500 0.500 0.500 Hf
0.000 0.000 0.000 Cl
```

Values from the calculation:
Energy ... -5.1807 eV/atom
Energy relative to the elements, uncorrected ... 0.09 eV per atom
DOS at the Fermi energy ... 8.33 states/eV/f.u.
Size of the total moment ... 0.000 μB/atom
Relative energy among the computed polymorphs ... 292.9 meV per atom